[1]
Entry from the Alexandria database: a crystal of KCdHg relaxed with PBEsol (meta-GGA SCAN).

Lattice parameters (Å, degrees): 3.592 5.232 5.232 120.00 90.00 90.00
Element x y z (fractional)
Cd  0.000  0.000  0.000
K  0.500  0.667  0.333
Hg  0.000  0.333  0.667

[2]
Entry from the Alexandria database: a crystal of KCd2Hg2 relaxed with PBEsol (meta-GGA SCAN).

Lattice parameters (Å, degrees): 3.219 8.810 8.810 90.00 90.00 90.00
Element x y z (fractional)
Cd  0.500  0.642  0.858
Hg  0.000  0.152  0.348
Hg  0.000  0.652  0.152
Cd  0.500  0.142  0.642
K  0.000  0.000  0.000
Cd  0.500  0.358  0.142
K  0.000  0.500  0.500
Hg  0.000  0.848  0.652
Cd  0.500  0.858  0.358
Hg  0.000  0.348  0.848

[3]
Entry from the Alexandria database: a crystal of K2Cd2Hg relaxed with PBEsol (meta-GGA SCAN).

Lattice parameters (Å, degrees): 5.512 7.653 7.653 90.00 90.00 90.00
Element x y z (fractional)
Cd  0.000  0.134  0.366
Cd  0.000  0.634  0.134
Cd  0.000  0.866  0.634
K  0.500  0.678  0.822
K  0.500  0.822  0.322
K  0.500  0.178  0.678
Hg  0.000  0.500  0.500
Cd  0.000  0.366  0.866
K  0.500  0.322  0.178
Hg  0.000  0.000  0.000

[4]
Entry from the Alexandria database: a crystal of KCdHg3 relaxed with PBEsol (meta-GGA SCAN).

Lattice parameters (Å, degrees): 5.511 5.511 5.511 90.00 90.00 90.00
Element x y z (fractional)
Cd  0.000  0.000  0.000
K  0.500  0.500  0.500
Hg  0.500  0.000  0.000
Hg  0.000  0.000  0.500
Hg  0.000  0.500  0.000

[5]
Entry from the Alexandria database: a crystal of KCd2Hg2 relaxed with PBEsol (meta-GGA SCAN).

Lattice parameters (Å, degrees): 4.646 4.646 7.123 109.04 109.04 90.00
Element x y z (fractional)
Hg  0.388  0.388  0.776
K  0.000  0.000  0.000
Hg  0.612  0.612  0.224
Cd  0.750  0.250  0.500
Cd  0.250  0.750  0.500

[6]
Entry from the Alexandria database: a crystal of KCdHg relaxed with PBEsol (meta-GGA SCAN).

Lattice parameters (Å, degrees): 3.866 3.865 6.547 107.17 107.17 90.00
Element x y z (fractional)
Hg  0.635  0.635  0.269
K  0.330  0.330  0.660
Cd  0.035  0.035  0.071

[7]
Entry from the Alexandria database: a crystal of K2Cd2Hg relaxed with PBEsol (meta-GGA SCAN).

Lattice parameters (Å, degrees): 4.087 4.087 10.629 101.09 101.09 90.00
Element x y z (fractional)
Hg  0.000  0.000  0.000
Cd  0.750  0.250  0.500
Cd  0.250  0.750  0.500
K  0.396  0.396  0.793
K  0.604  0.604  0.207

[8]
Entry from the Alexandria database: a crystal of KCdHg relaxed with PBEsol (meta-GGA SCAN).

Lattice parameters (Å, degrees): 5.209 5.209 5.209 60.00 60.00 60.00
Element x y z (fractional)
K  0.000  0.000  0.000
Cd  0.500  0.500  0.500
Hg  0.250  0.250  0.250

[9]
Entry from the Alexandria database: a crystal of KCd4Hg relaxed with PBEsol (meta-GGA SCAN).

Lattice parameters (Å, degrees): 5.942 5.942 5.942 60.00 60.00 60.00
Element x y z (fractional)
Cd  0.376  0.376  0.873
Cd  0.376  0.376  0.376
Cd  0.873  0.376  0.376
Hg  0.750  0.750  0.750
Cd  0.376  0.873  0.376
K  0.000  0.000  0.000

[10]
Entry from the Alexandria database: a crystal of KCdHg4 relaxed with PBEsol (meta-GGA SCAN).

Lattice parameters (Å, degrees): 6.069 6.069 6.069 60.00 60.00 60.00
Element x y z (fractional)
K  0.750  0.750  0.750
Hg  0.876  0.375  0.375
Cd  0.000  0.000  0.000
Hg  0.375  0.876  0.375
Hg  0.375  0.375  0.375
Hg  0.375  0.375  0.876

[11]
Entry from the Alexandria database: a crystal of LaCdHg2 relaxed with PBEsol (meta-GGA SCAN).

Lattice parameters (Å, degrees): 3.567 3.567 7.581 90.00 90.00 90.00
Element x y z (fractional)
Cd  0.500  0.500  0.500
Hg  0.000  0.000  0.276
Hg  0.000  0.000  0.724
La  0.500  0.500  0.000

[12]
Entry from the Alexandria database: a crystal of LaCdHg2 relaxed with PBEsol (meta-GGA SCAN).

Lattice parameters (Å, degrees): 3.314 4.981 6.063 90.00 90.43 90.00
Each line ends with the local moment (μB).
Element x y z (fractional)
Hg  0.000  0.000  0.992  0.00
Cd  0.005  0.500  0.760  0.00
Hg  0.995  0.500  0.258  0.00
La  0.500  0.000  0.490  -0.16

[13]
Entry from the Alexandria database: a crystal of LaCd2Hg relaxed with PBEsol (meta-GGA SCAN).

Lattice parameters (Å, degrees): 5.143 5.143 5.143 60.00 60.00 60.00
Element x y z (fractional)
Hg  0.000  0.000  0.000
Cd  0.250  0.250  0.250
La  0.750  0.750  0.750
Cd  0.500  0.500  0.500

[14]
Entry from the Alexandria database: a crystal of LaCdHg2 relaxed with PBEsol (meta-GGA SCAN).

Lattice parameters (Å, degrees): 5.141 5.141 5.141 60.00 60.00 60.00
Element x y z (fractional)
Hg  0.000  0.000  0.000
La  0.500  0.500  0.500
Cd  0.250  0.250  0.250
Hg  0.750  0.750  0.750

[15]
Entry from the Alexandria database: a crystal of LaCdHg relaxed with PBEsol (meta-GGA SCAN).

Lattice parameters (Å, degrees): 3.474 5.006 5.006 120.00 90.00 90.00
Each line ends with the local moment (μB).
Element x y z (fractional)
La  0.333  0.333  0.667  -0.14
Hg  0.833  0.667  0.333  -0.01
Cd  0.833  0.000  0.000  0.00

[16]
Entry from the Alexandria database: a crystal of LaCdHg relaxed with PBEsol (meta-GGA SCAN).

Lattice parameters (Å, degrees): 4.969 4.969 4.969 60.00 60.00 60.00
Each line ends with the local moment (μB).
Element x y z (fractional)
La  0.000  0.000  0.000  0.19
Hg  0.750  0.750  0.750  0.11
Cd  0.500  0.500  0.500  0.07

[17]
Entry from the Alexandria database: a crystal of La2CdHg2 relaxed with PBEsol (meta-GGA SCAN).

Lattice parameters (Å, degrees): 4.460 7.866 7.866 90.00 90.00 90.00
Element x y z (fractional)
Hg  0.000  0.366  0.866
Hg  0.000  0.866  0.634
Hg  0.000  0.134  0.366
La  0.500  0.832  0.332
Cd  0.000  0.000  0.000
Cd  0.000  0.500  0.500
La  0.500  0.168  0.668
La  0.500  0.332  0.168
La  0.500  0.668  0.832
Hg  0.000  0.634  0.134

[18]
Entry from the Alexandria database: a crystal of LaCd2Hg relaxed with PBEsol (meta-GGA SCAN).

Lattice parameters (Å, degrees): 3.586 3.586 7.613 90.00 90.00 90.00
Element x y z (fractional)
La  0.500  0.500  0.500
Cd  0.000  0.000  0.785
Cd  0.000  0.000  0.215
Hg  0.500  0.500  0.000

[19]
Entry from the Alexandria database: a crystal of LaCdHg2P relaxed with PBEsol (meta-GGA SCAN).

Lattice parameters (Å, degrees): 5.016 5.030 5.030 90.00 90.00 90.00
Element x y z (fractional)
P  0.000  0.000  0.000
Hg  0.000  0.000  0.500
Hg  0.000  0.500  0.000
Cd  0.500  0.000  0.000
La  0.500  0.500  0.500

[20]
Entry from the Alexandria database: a crystal of Li2CdHg relaxed with PBEsol (meta-GGA SCAN).

Lattice parameters (Å, degrees): 3.350 3.350 6.417 90.00 90.00 90.00
Element x y z (fractional)
Li  0.000  0.000  0.994
Li  0.500  0.500  0.245
Cd  0.000  0.000  0.478
Hg  0.500  0.500  0.784

no.,total DFT energy (no corrections) (eV/atom)
1,-35.84
2,-41.23
3,-29.24
4,-48.77
5,-41.31
6,-35.82
7,-29.24
8,-35.73
9,-33.07
10,-52.01
11,-52.89
12,-52.86
13,-43.50
14,-52.93
15,-47.82
16,-47.72
17,-51.20
18,-43.30
19,-43.99
20,-26.14